Pu2PtSe after structural relaxation, computed with PBE.

Cell: 7.4795 7.4795 7.4795 Å, 31.43 31.43 31.43°
Closest atoms and distances in Å follow each position.
Fractional positions:
Pu: 0.2466 0.2466 0.2466  3 Pt 2.89, 3 Se 2.98
Pu: 0.7534 0.7534 0.7534  3 Pt 2.89, 3 Se 2.98
Pt: 0.5000 0.5000 0.5000  6 Pu 2.89
Se: 0.0000 0.0000 0.0000  6 Pu 2.98

Output
For the magnetic moment, the calculation gives 11.4 Bohr magnetons per cell. The value obtained for the formation energy without anion corrections is -1.04 eV/atom. The energy above the most stable polymorph in this dataset is 40.9 meV per atom. For the calculated total energy, the calculation gives -10.59 eV per atom.


TlAg3Pd3 after structural relaxation, computed with PBE.

Cell: 6.5551 6.5551 6.0931 Å, 90.00 90.00 90.18°
Closest atoms and distances in Å follow each position.
Fractional positions:
Tl: 0.2393 0.7607 0.0000  6 Pd 2.78-2.89, 2 Ag 3.05
Tl: 0.7607 0.2393 0.0000  6 Pd 2.78-2.89, 2 Ag 3.05
Ag: 0.2277 0.7723 0.5000  6 Pd 2.77-2.92, 2 Ag 3.00, 2 Tl 3.05
Ag: 0.2306 0.2306 0.5000  6 Pd 2.78-2.89, 4 Ag 3.00-3.05
Ag: 0.2370 0.2370 0.0000  6 Pd 2.78-2.91, 2 Ag 3.05
Ag: 0.7630 0.7630 0.0000  6 Pd 2.78-2.91, 2 Ag 3.05
Ag: 0.7694 0.7694 0.5000  6 Pd 2.78-2.89, 4 Ag 3.00-3.05
Ag: 0.7723 0.2277 0.5000  6 Pd 2.77-2.92, 2 Ag 3.00, 2 Tl 3.05
Pd: 0.0000 0.5000 0.2511  6 Ag 2.77-2.78, 2 Tl 2.78, 2 Pd 3.03-3.06
Pd: 0.0000 0.5000 0.7489  6 Ag 2.77-2.78, 2 Tl 2.78, 2 Pd 3.03-3.06
Pd: 0.5000 0.0000 0.2511  6 Ag 2.77-2.78, 2 Tl 2.78, 2 Pd 3.03-3.06
Pd: 0.5000 0.0000 0.7489  6 Ag 2.77-2.78, 2 Tl 2.78, 2 Pd 3.03-3.06
Pd: 0.5000 0.5000 0.2606  6 Ag 2.89-2.92, 2 Tl 2.89, 2 Pd 2.92-3.18
Pd: 0.5000 0.5000 0.7394  6 Ag 2.89-2.92, 2 Tl 2.89, 2 Pd 2.92-3.18

Output
For the magnetic moment, the calculation gives 0.0 Bohr magnetons per cell. For the calculated total energy, the calculation gives -3.82 eV per atom.


CaMoW2 after structural relaxation, computed with PBE.

Cell: 5.5915 5.5915 2.6858 Å, 90.00 90.00 120.84°
Closest atoms and distances in Å follow each position.
Fractional positions:
Ca: 0.0000 0.0000 0.0000  2 Ca 2.69, 2 Mo 2.76
Mo: 0.5000 0.5000 0.0000  2 Mo 2.69, 2 Ca 2.76
W: 0.0000 0.5000 0.5000  4 W 2.69-2.76
W: 0.5000 0.0000 0.5000  4 W 2.69-2.76

Output
For the magnetic moment, the calculation gives 0.0 Bohr magnetons per cell. The energy above the most stable polymorph in this dataset is 340.9 meV per atom. For the calculated total energy, the calculation gives -8.82 eV per atom.


DyPHRh after structural relaxation, computed with PBE.

Cell: 3.9189 3.9189 7.2348 Å, 90.00 90.00 90.00°
Closest atoms and distances in Å follow each position.
Fractional positions:
Dy: 0.2500 0.2500 0.1584  4 H 2.27
Dy: 0.7500 0.7500 0.8416  4 H 2.27
P: 0.2500 0.2500 0.6959  4 Rh 2.42
P: 0.7500 0.7500 0.3041  4 Rh 2.42
H: 0.2500 0.7500 0.0000  4 Dy 2.27
H: 0.7500 0.2500 0.0000  4 Dy 2.27
Rh: 0.2500 0.7500 0.5000  4 P 2.42
Rh: 0.7500 0.2500 0.5000  4 P 2.42

Output
For the magnetic moment, the calculation gives 0.0 Bohr magnetons per cell. For the calculated total energy, the calculation gives -6.17 eV per atom.


LiTm2HPt6 after structural relaxation, computed with PBE.

Cell: 5.9988 5.9988 5.8474 Å, 119.08 119.08 88.77°
Closest atoms and distances in Å follow each position.
Fractional positions:
Li: 0.0000 0.0000 0.0000  6 Pt 2.21-2.26
Tm: 0.2387 0.7613 0.5000  12 Pt 2.93-3.14
Tm: 0.7613 0.2387 0.5000  12 Pt 2.93-3.14
H: 0.5000 0.5000 0.0000  6 Pt 1.98-2.04
Pt: 0.2636 0.7364 0.0000  1 H 1.98, 1 Li 2.21
Pt: 0.2713 0.2713 0.0192  1 H 2.04, 1 Li 2.25
Pt: 0.2717 0.2717 0.5232  1 H 2.04, 1 Li 2.26
Pt: 0.7283 0.7283 0.4768  1 H 2.04, 1 Li 2.26
Pt: 0.7287 0.7287 0.9808  1 H 2.04, 1 Li 2.25
Pt: 0.7364 0.2636 0.0000  1 H 1.98, 1 Li 2.21

Output
For the magnetic moment, the calculation gives 0.0 Bohr magnetons per cell. For the calculated total energy, the calculation gives -5.77 eV per atom.


Y2HoCo after structural relaxation, computed with PBE.

Cell: 6.2945 6.2945 9.3759 Å, 90.00 90.00 146.12°
Closest atoms and distances in Å follow each position.
Fractional positions:
Y: 0.1405 0.8595 0.5721  2 Co 2.81
Y: 0.1405 0.8595 0.9279  2 Co 2.81
Y: 0.8595 0.1405 0.0721  2 Co 2.81
Y: 0.8595 0.1405 0.4279  2 Co 2.81
Ho: 0.4143 0.5857 0.7500  2 Co 2.69
Ho: 0.5857 0.4143 0.2500  2 Co 2.69
Co: 0.2494 0.7506 0.2500  2 Ho 2.69, 4 Y 2.81
Co: 0.7506 0.2494 0.7500  2 Ho 2.69, 4 Y 2.81

Output
For the magnetic moment, the calculation gives 0.0 Bohr magnetons per cell. The energy above the most stable polymorph in this dataset is 25.2 meV per atom. For the calculated total energy, the calculation gives -6.28 eV per atom.


Sm3DyTl4 after structural relaxation, computed with PBE.

Cell: 10.0583 6.7678 6.7588 Å, 90.00 90.00 90.00°
Closest atoms and distances in Å follow each position.
Fractional positions:
Sm: 0.0000 0.0006 0.0000  6 Tl 3.38-3.48, 2 Dy 3.38-3.39, 4 Sm 3.47
Sm: 0.2502 0.2508 0.2506  8 Tl 3.37-3.47, 2 Dy 3.47, 2 Sm 3.47
Sm: 0.2498 0.7492 0.7506  8 Tl 3.37-3.47, 2 Dy 3.47, 2 Sm 3.47
Sm: 0.5000 0.9994 0.5000  6 Tl 3.38-3.48, 2 Dy 3.38-3.39, 4 Sm 3.47
Sm: 0.7498 0.2508 0.2506  8 Tl 3.37-3.47, 2 Dy 3.47, 2 Sm 3.47
Sm: 0.7502 0.7492 0.7506  8 Tl 3.37-3.47, 2 Dy 3.47, 2 Sm 3.47
Dy: 0.0000 0.5003 0.0012  6 Tl 3.38-3.47, 6 Sm 3.38-3.47
Dy: 0.5000 0.4997 0.5012  6 Tl 3.38-3.47, 6 Sm 3.38-3.47
Tl: 0.0000 0.4992 0.5010  2 Dy 3.38, 6 Tl 3.38-3.47, 4 Sm 3.47
Tl: 0.0000 0.9995 0.5000  6 Sm 3.38-3.47, 6 Tl 3.38-3.48
Tl: 0.2501 0.2514 0.7507  6 Sm 3.37-3.48, 2 Dy 3.46-3.47, 4 Tl 3.46-3.48
Tl: 0.2499 0.7486 0.2507  6 Sm 3.37-3.48, 2 Dy 3.46-3.47, 4 Tl 3.46-3.48
Tl: 0.5000 0.0005 0.0000  6 Sm 3.38-3.47, 6 Tl 3.38-3.48
Tl: 0.5000 0.5008 0.0010  2 Dy 3.38, 6 Tl 3.38-3.47, 4 Sm 3.47
Tl: 0.7499 0.2514 0.7507  6 Sm 3.37-3.48, 2 Dy 3.46-3.47, 4 Tl 3.46-3.48
Tl: 0.7501 0.7486 0.2507  6 Sm 3.37-3.48, 2 Dy 3.46-3.47, 4 Tl 3.46-3.48

Output
For the magnetic moment, the calculation gives 0.0 Bohr magnetons per cell. The energy above the most stable polymorph in this dataset is 132.9 meV per atom. For the calculated total energy, the calculation gives -3.77 eV per atom.


PuMnNi10 after structural relaxation, computed with PBE.

Cell: 3.9908 4.7376 8.2631 Å, 90.00 90.00 90.00°
Closest atoms and distances in Å follow each position.
Fractional positions:
Pu: 0.0000 0.0000 0.0000  10 Ni 2.80-3.10
Mn: 0.0000 0.5000 0.5000  6 Ni 2.64-2.70
Ni: 0.0000 0.0000 0.3423  7 Ni 2.38-2.61
Ni: 0.0000 0.0000 0.6577  7 Ni 2.38-2.61
Ni: 0.0000 0.5000 0.1808  6 Ni 2.40-2.49, 1 Mn 2.64
Ni: 0.0000 0.5000 0.8192  6 Ni 2.40-2.49, 1 Mn 2.64
Ni: 0.5000 0.0000 0.5000  8 Ni 2.35-2.38
Ni: 0.5000 0.2511 0.2551  8 Ni 2.35-2.43
Ni: 0.5000 0.2511 0.7449  8 Ni 2.35-2.43
Ni: 0.5000 0.5000 0.0000  8 Ni 2.41-2.49
Ni: 0.5000 0.7489 0.2551  8 Ni 2.35-2.43
Ni: 0.5000 0.7489 0.7449  8 Ni 2.35-2.43

Output
For the magnetic moment, the calculation gives 12.0 Bohr magnetons per cell. For the calculated total energy, the calculation gives -6.78 eV per atom.


Al2VAu after structural relaxation, computed with PBE.

Cell: 2.8075 2.8075 7.8395 Å, 90.00 90.00 90.00°
Closest atoms and distances in Å follow each position.
Fractional positions:
Al: 0.0000 0.0000 0.2355  4 V 2.71, 4 Al 2.81, 4 Au 2.87
Al: 0.0000 0.0000 0.7645  4 V 2.71, 4 Al 2.81, 4 Au 2.87
V: 0.5000 0.5000 0.0000  8 Al 2.71, 4 V 2.81
Au: 0.5000 0.5000 0.5000  4 Au 2.81, 8 Al 2.87

Output
For the magnetic moment, the calculation gives 0.0 Bohr magnetons per cell. For the calculated total energy, the calculation gives -5.21 eV per atom.


Cs4Nd3NpO8 after structural relaxation, computed with PBE.

Cell: 8.1645 8.1645 8.1645 Å, 53.69 53.69 53.69°
Closest atoms and distances in Å follow each position.
Fractional positions:
Cs: 0.0000 0.0000 0.0000  6 O 3.23
Cs: 0.0000 0.5000 0.5000  6 O 3.14-3.17
Cs: 0.5000 0.0000 0.5000  6 O 3.14-3.17
Cs: 0.5000 0.5000 0.0000  6 O 3.14-3.17
Nd: 0.0000 0.0000 0.5000  6 O 2.41-2.46
Nd: 0.0000 0.5000 0.0000  6 O 2.41-2.46
Nd: 0.5000 0.0000 0.0000  6 O 2.41-2.46
Np: 0.5000 0.5000 0.5000  6 O 2.34
O: 0.2211 0.2211 0.2211  3 Nd 2.41
O: 0.2354 0.7142 0.7142  1 Np 2.34, 2 Nd 2.46
O: 0.2858 0.2858 0.7646  1 Np 2.34, 2 Nd 2.46
O: 0.2858 0.7646 0.2858  1 Np 2.34, 2 Nd 2.46
O: 0.7142 0.2354 0.7142  1 Np 2.34, 2 Nd 2.46
O: 0.7142 0.7142 0.2354  1 Np 2.34, 2 Nd 2.46
O: 0.7646 0.2858 0.2858  1 Np 2.34, 2 Nd 2.46
O: 0.7789 0.7789 0.7789  3 Nd 2.41

Output
For the magnetic moment, the calculation gives 3.8 Bohr magnetons per cell. The value obtained for the formation energy without anion corrections is -2.41 eV/atom. For the calculated total energy, the calculation gives -6.80 eV per atom.